Compound: ZrNiAg3
Source: Alexandria via LeMat-Bulk
Functional: GGA-PBE
Structure: relaxed

abc: 4.716 4.716 4.716
angles: 90.00 90.00 90.00
Positions (direct):
Zr (0.000, 0.000, 0.000)
Ni (0.500, 0.500, 0.500)
Ag (0.000, 0.500, 0.500)
Ag (0.500, 0.000, 0.500)
Ag (0.500, 0.500, 0.000)

Values from the calculation:
M_tot: 1.60 μB/cell
Offset from the most stable computed form: 0 meV per atom
V: 20.978 Å³ per atom
Formation energy from the elements: 3.662 eV/f.u.

Compound: ZrNiAg2
Source: Alexandria via LeMat-Bulk
Functional: GGA-PBE
Structure: relaxed

abc: 4.612 4.612 4.612
angles: 60.00 60.00 60.00
Positions (direct):
Zr (0.000, 0.000, 0.000)
Ni (0.500, 0.500, 0.500)
Ag (0.250, 0.250, 0.250)
Ag (0.750, 0.750, 0.750)

Values from the calculation:
M_tot: 0.00 μB/cell
Offset from the most stable computed form: 195 meV per atom
V: 17.347 Å³ per atom
Formation energy from the elements: 0.485 eV/f.u.

Compound: ZrNiAg2
Source: Alexandria via LeMat-Bulk
Functional: GGA-PBE
Structure: relaxed

abc: 5.415 5.415 4.324
angles: 113.28 113.28 36.44
Positions (direct):
Zr (0.000, 0.000, 0.000)
Ni (0.500, 0.500, 0.500)
Ag (0.230, 0.230, 0.730)
Ag (0.770, 0.770, 0.270)

Values from the calculation:
M_tot: 0.00 μB/cell
Offset from the most stable computed form: 49 meV per atom
V: 17.119 Å³ per atom
Formation energy from the elements: -0.100 eV/f.u.

Compound: NpAg5
Source: Alexandria via LeMat-Bulk
Functional: GGA-PBE
Structure: relaxed

abc: 8.229 8.229 2.939
angles: 90.00 90.00 142.84
Positions (direct):
Np (0.000, 0.000, 0.000)
Ag (0.185, 0.815, 0.500)
Ag (0.344, 0.656, 0.000)
Ag (0.500, 0.500, 0.500)
Ag (0.656, 0.344, 0.000)
Ag (0.815, 0.185, 0.500)

Values from the calculation:
M_tot: 4.96 μB/cell
V: 20.035 Å³ per atom
Formation energy from the elements: 1.339 eV/f.u.